[1]
NbPO3 | SCAN | single point on PBEsol structure

```
NbPO3
1.0
3.724 0.000 0.000
0.000 3.724 0.000
0.000 0.000 3.724
Nb P O
1 1 3
direct
0.000 0.000 0.000
0.500 0.500 0.500
0.000 0.500 0.500
0.500 0.000 0.500
0.500 0.500 0.000
```

Calculated values
The space group is No. 221. The magnetization comes out at 2.78 μB per formula unit. The uncorrected formation energy comes out at -16.89 kcal/mol of atoms.

***

[2]
RbNbP2O8 | SCAN | single point on PBEsol structure

```
RbNbP2O8
1.0
5.242 0.000 0.000
0.000 12.082 0.000
-5.222 0.000 11.945
Rb Nb P O
4 4 8 32
direct
0.194 0.130 0.453
0.194 0.370 0.953
0.806 0.630 0.047
0.806 0.870 0.547
0.422 0.117 0.174
0.422 0.383 0.674
0.578 0.617 0.326
0.578 0.883 0.826
0.096 0.696 0.841
0.096 0.804 0.341
0.111 0.066 0.867
0.111 0.434 0.367
0.889 0.566 0.633
0.889 0.934 0.133
0.904 0.196 0.659
0.904 0.304 0.159
0.065 0.177 0.793
0.065 0.323 0.293
0.088 0.216 0.135
0.088 0.284 0.635
0.133 0.592 0.906
0.133 0.908 0.406
0.178 0.518 0.660
0.178 0.982 0.160
0.261 0.105 0.985
0.261 0.395 0.485
0.275 0.514 0.326
0.275 0.986 0.826
0.372 0.747 0.355
0.372 0.753 0.855
0.452 0.632 0.180
0.452 0.868 0.680
0.548 0.132 0.320
0.548 0.368 0.820
0.628 0.247 0.145
0.628 0.253 0.645
0.725 0.014 0.174
0.725 0.486 0.674
0.739 0.605 0.515
0.739 0.895 0.015
0.822 0.018 0.840
0.822 0.482 0.340
0.867 0.092 0.594
0.867 0.408 0.094
0.912 0.716 0.365
0.912 0.784 0.865
0.935 0.677 0.707
0.935 0.823 0.207
```

Calculated values
The space group is No. 14. The magnetization comes out at 0.00 μB per formula unit. The uncorrected formation energy comes out at -59.73 kcal/mol of atoms.

***

[3]
RbNbPO2 | SCAN | single point on PBEsol structure

```
RbNbPO2
1.0
4.091 0.000 0.000
0.000 4.091 0.000
0.000 0.000 5.024
Rb Nb P O
1 1 1 2
direct
0.000 0.000 0.000
0.500 0.500 0.500
0.500 0.500 0.000
0.000 0.500 0.500
0.500 0.000 0.500
```

Calculated values
The space group is No. 123. The magnetization comes out at 0.00 μB per formula unit. The polymorph energy (0 for the lowest one) is 0.000 eV per atom. The uncorrected formation energy comes out at -31.33 kcal/mol of atoms.

***

[4]
RbNbPO2 | SCAN | single point on PBEsol structure

```
RbNbPO2
1.0
3.977 0.000 0.000
0.000 3.977 0.000
0.000 0.000 5.852
Rb Nb P O
1 1 1 2
direct
0.000 0.000 0.000
0.500 0.500 0.500
0.000 0.000 0.500
0.000 0.500 0.000
0.500 0.000 0.000
```

Calculated values
The space group is No. 123. The magnetization comes out at 1.11 μB per formula unit. The polymorph energy (0 for the lowest one) is 2.548 eV per atom. The uncorrected formation energy comes out at 27.43 kcal/mol of atoms.

***

[5]
NbReP2O | SCAN | single point on PBEsol structure

```
NbReP2O
1.0
4.728 0.000 0.000
0.000 4.728 0.000
0.000 0.000 3.618
Nb Re P O
1 1 2 1
direct
0.000 0.000 0.000
0.500 0.500 0.500
0.000 0.500 0.500
0.500 0.000 0.500
0.500 0.500 0.000
```

Calculated values
The space group is No. 123. The magnetization comes out at 2.02 μB per formula unit. The uncorrected formation energy comes out at 1.63 kcal/mol of atoms.

***

[6]
NbP2SO | SCAN | single point on PBEsol structure

```
NbP2SO
1.0
4.532 0.000 0.000
0.000 4.532 0.000
0.000 0.000 3.386
Nb P S O
1 2 1 1
direct
0.000 0.000 0.000
0.000 0.500 0.500
0.500 0.000 0.500
0.500 0.500 0.500
0.500 0.500 0.000
```

Calculated values
The space group is No. 123. The magnetization comes out at 0.01 μB per formula unit. The polymorph energy (0 for the lowest one) is 0.000 eV per atom. The uncorrected formation energy comes out at 7.21 kcal/mol of atoms.

***

[7]
NbP2SO | SCAN | single point on PBEsol structure

```
NbP2SO
1.0
4.793 0.000 0.000
0.000 4.793 0.000
0.000 0.000 4.619
Nb P S O
1 2 1 1
direct
0.000 0.000 0.000
0.000 0.500 0.000
0.500 0.000 0.000
0.000 0.000 0.500
0.500 0.500 0.500
```

Calculated values
The space group is No. 123. The magnetization comes out at 0.38 μB per formula unit. The polymorph energy (0 for the lowest one) is 0.385 eV per atom. The uncorrected formation energy comes out at 16.09 kcal/mol of atoms.

***

[8]
NbSb3P6O24 | SCAN | single point on PBEsol structure

```
NbSb3P6O24
1.0
4.293 2.479 7.457
-4.293 2.479 7.457
0.000 -4.957 7.457
Nb Sb P O
1 3 6 24
direct
0.000 0.000 0.000
0.215 0.215 0.215
0.500 0.500 0.500
0.718 0.718 0.718
0.083 0.396 0.856
0.331 0.902 0.601
0.396 0.856 0.083
0.601 0.331 0.902
0.856 0.083 0.396
0.902 0.601 0.331
0.000 0.256 0.905
0.045 0.064 0.388
0.053 0.397 0.351
0.064 0.388 0.045
0.138 0.987 0.742
0.256 0.905 0.000
0.284 0.354 0.721
0.342 0.716 0.629
0.351 0.053 0.397
0.354 0.721 0.284
0.388 0.045 0.064
0.397 0.351 0.053
0.495 0.883 0.636
0.598 0.775 0.951
0.629 0.342 0.716
0.636 0.495 0.883
0.716 0.629 0.342
0.721 0.284 0.354
0.742 0.138 0.987
0.775 0.951 0.598
0.883 0.636 0.495
0.905 0.000 0.256
0.951 0.598 0.775
0.987 0.742 0.138
```

Calculated values
The space group is No. 146. The magnetization comes out at 0.00 μB per formula unit. The uncorrected formation energy comes out at -50.42 kcal/mol of atoms.

***

[9]
ScNbP2O | SCAN | single point on PBEsol structure

```
ScNbP2O
1.0
4.865 0.000 0.000
0.000 4.865 0.000
0.000 0.000 3.830
Sc Nb P O
1 1 2 1
direct
0.000 0.000 0.000
0.500 0.500 0.500
0.000 0.500 0.500
0.500 0.000 0.500
0.500 0.500 0.000
```

Calculated values
The space group is No. 123. The magnetization comes out at 0.00 μB per formula unit. The uncorrected formation energy comes out at -23.12 kcal/mol of atoms.

***

[10]
NbTcP2O | SCAN | single point on PBEsol structure

```
NbTcP2O
1.0
4.706 0.000 0.000
0.000 4.706 0.000
0.000 0.000 3.559
Nb Tc P O
1 1 2 1
direct
0.000 0.000 0.000
0.500 0.500 0.500
0.000 0.500 0.500
0.500 0.000 0.500
0.500 0.500 0.000
```

Calculated values
The space group is No. 123. The magnetization comes out at 1.56 μB per formula unit. The uncorrected formation energy comes out at -0.50 kcal/mol of atoms.

***

[11]
TiNb3P6O24 | SCAN | single point on PBEsol structure

```
TiNb3P6O24
1.0
4.358 2.516 7.445
-4.358 2.516 7.445
0.000 -5.033 7.445
Ti Nb P O
1 3 6 24
direct
0.000 0.000 0.000
0.217 0.217 0.217
0.500 0.500 0.500
0.717 0.717 0.717
0.109 0.383 0.828
0.320 0.890 0.616
0.383 0.828 0.109
0.616 0.320 0.890
0.828 0.109 0.383
0.890 0.616 0.320
0.064 0.440 0.292
0.086 0.214 0.855
0.133 0.360 0.997
0.148 0.917 0.788
0.214 0.855 0.086
0.281 0.417 0.652
0.292 0.064 0.440
0.352 0.719 0.587
0.360 0.997 0.133
0.417 0.652 0.281
0.440 0.292 0.064
0.495 0.862 0.633
0.561 0.797 0.937
0.587 0.352 0.719
0.633 0.495 0.862
0.652 0.281 0.417
0.719 0.587 0.352
0.788 0.148 0.917
0.797 0.937 0.561
0.855 0.086 0.214
0.862 0.633 0.495
0.917 0.788 0.148
0.937 0.561 0.797
0.997 0.133 0.360
```

Calculated values
The space group is No. 146. The magnetization comes out at 1.09 μB per formula unit. The uncorrected formation energy comes out at -61.10 kcal/mol of atoms.

***

[12]
TiNbP3O12 | SCAN | single point on PBEsol structure

```
TiNbP3O12
1.0
4.326 2.498 7.389
-4.326 2.498 7.389
0.000 -4.995 7.389
Ti Nb P O
2 2 6 24
direct
0.000 0.000 0.000
0.500 0.500 0.500
0.218 0.218 0.218
0.718 0.718 0.718
0.117 0.383 0.822
0.322 0.883 0.617
0.383 0.822 0.117
0.617 0.322 0.883
0.822 0.117 0.383
0.883 0.617 0.322
0.063 0.441 0.293
0.088 0.214 0.854
0.136 0.361 0.996
0.148 0.915 0.789
0.214 0.854 0.088
0.289 0.415 0.648
0.293 0.063 0.441
0.354 0.714 0.588
0.361 0.996 0.136
0.415 0.648 0.289
0.441 0.293 0.063
0.496 0.861 0.636
0.563 0.793 0.941
0.588 0.354 0.714
0.636 0.496 0.861
0.648 0.289 0.415
0.714 0.588 0.354
0.789 0.148 0.915
0.793 0.941 0.563
0.854 0.088 0.214
0.861 0.636 0.496
0.915 0.789 0.148
0.941 0.563 0.793
0.996 0.136 0.361
```

Calculated values
The space group is No. 161. The magnetization comes out at 0.00 μB per formula unit. The uncorrected formation energy comes out at -62.65 kcal/mol of atoms.

***

[13]
Ti3NbV2P6O24 | SCAN | single point on PBEsol structure

```
Ti3NbV2P6O24
1.0
4.368 2.522 6.656
-4.368 2.522 6.656
0.000 -5.044 6.656
Ti Nb V P O
3 1 2 6 24
direct
0.000 0.000 0.000
0.224 0.224 0.224
0.725 0.725 0.725
0.499 0.499 0.499
0.368 0.368 0.368
0.865 0.865 0.865
0.103 0.405 0.831
0.322 0.911 0.610
0.405 0.831 0.103
0.610 0.322 0.911
0.831 0.103 0.405
0.911 0.610 0.322
0.029 0.250 0.873
0.109 0.457 0.311
0.124 0.923 0.763
0.183 0.364 0.982
0.250 0.873 0.029
0.257 0.417 0.631
0.311 0.109 0.457
0.360 0.757 0.533
0.364 0.982 0.183
0.417 0.631 0.257
0.457 0.311 0.109
0.481 0.862 0.683
0.533 0.360 0.757
0.604 0.815 0.954
0.631 0.257 0.417
0.683 0.481 0.862
0.757 0.533 0.360
0.763 0.124 0.923
0.815 0.954 0.604
0.862 0.683 0.481
0.873 0.029 0.250
0.923 0.763 0.124
0.954 0.604 0.815
0.982 0.183 0.364
```

Calculated values
The space group is No. 146. The magnetization comes out at 4.25 μB per formula unit. The uncorrected formation energy comes out at -61.85 kcal/mol of atoms.

***

[14]
NbTlP2O8 | SCAN | single point on PBEsol structure

```
NbTlP2O8
1.0
5.094 0.000 0.000
0.000 12.923 0.000
-4.275 0.000 11.169
Nb Tl P O
4 4 8 32
direct
0.093 0.073 0.296
0.093 0.427 0.796
0.907 0.573 0.204
0.907 0.927 0.704
0.247 0.113 0.975
0.247 0.387 0.475
0.753 0.613 0.525
0.753 0.887 0.025
0.310 0.087 0.614
0.310 0.413 0.114
0.420 0.749 0.709
0.420 0.751 0.209
0.580 0.249 0.791
0.580 0.251 0.291
0.690 0.587 0.886
0.690 0.913 0.386
0.047 0.052 0.144
0.047 0.448 0.644
0.131 0.100 0.484
0.131 0.400 0.984
0.149 0.050 0.694
0.149 0.450 0.194
0.244 0.665 0.238
0.244 0.835 0.738
0.264 0.668 0.623
0.264 0.832 0.123
0.343 0.199 0.324
0.343 0.301 0.824
0.420 0.201 0.658
0.420 0.299 0.158
0.433 0.518 0.866
0.433 0.982 0.366
0.567 0.018 0.634
0.567 0.482 0.134
0.580 0.701 0.842
0.580 0.799 0.342
0.657 0.699 0.176
0.657 0.801 0.676
0.736 0.168 0.877
0.736 0.332 0.377
0.756 0.165 0.262
0.756 0.335 0.762
0.851 0.550 0.806
0.851 0.950 0.306
0.869 0.600 0.016
0.869 0.900 0.516
0.953 0.552 0.356
0.953 0.948 0.856
```

Calculated values
The space group is No. 14. The magnetization comes out at 0.00 μB per formula unit. The uncorrected formation energy comes out at -55.13 kcal/mol of atoms.

***

[15]
Nb3VP6O24 | SCAN | single point on PBEsol structure

```
Nb3VP6O24
1.0
4.348 2.510 7.437
-4.348 2.510 7.437
0.000 -5.020 7.437
Nb V P O
3 1 6 24
direct
0.000 0.000 0.000
0.216 0.216 0.216
0.718 0.718 0.718
0.501 0.501 0.501
0.117 0.819 0.390
0.328 0.609 0.881
0.390 0.117 0.819
0.609 0.881 0.328
0.819 0.390 0.117
0.881 0.328 0.609
0.060 0.299 0.435
0.081 0.856 0.221
0.130 0.998 0.362
0.150 0.779 0.923
0.221 0.081 0.856
0.290 0.649 0.412
0.299 0.435 0.060
0.350 0.593 0.711
0.362 0.130 0.998
0.412 0.290 0.649
0.435 0.060 0.299
0.495 0.636 0.860
0.566 0.940 0.791
0.593 0.711 0.350
0.636 0.860 0.495
0.649 0.412 0.290
0.711 0.350 0.593
0.779 0.923 0.150
0.791 0.566 0.940
0.856 0.221 0.081
0.860 0.495 0.636
0.923 0.150 0.779
0.940 0.791 0.566
0.998 0.362 0.130
```

Calculated values
The space group is No. 146. The magnetization comes out at 2.02 μB per formula unit. The uncorrected formation energy comes out at -59.85 kcal/mol of atoms.